P:
Density functional theory data (PBE) for an optimized crystal structure of SeBrCl4.

Structure (POSCAR):
```
SeBrCl4
1.0
-3.641 3.641 4.031
3.641 -3.641 4.031
3.641 3.641 -4.031
Se Br Cl
1 1 4
Direct
0.000 0.000 0.000
0.750 0.250 0.500
0.228 0.232 0.458
0.230 0.772 0.004
0.768 0.226 0.996
0.774 0.770 0.542
```

=====

Q:
Density functional theory data (PBE) for an optimized crystal structure of SeBrCl4.

Structure (POSCAR):
```
SeBrCl4
1.0
0.000 4.168 4.168
4.168 0.000 4.168
4.168 4.168 0.000
Se Br Cl
1 1 4
Direct
0.000 0.000 0.000
0.750 0.750 0.750
0.375 0.375 0.375
0.375 0.375 0.875
0.375 0.875 0.375
0.875 0.375 0.375
```

=====

Relative energies with respect to the most stable structure, expressed in meV per atom: P 0; Q 817.

=====

P:
Density functional theory data (PBE) for an optimized crystal structure of SeBr2Cl.

Structure (POSCAR):
```
SeBr2Cl
1.0
2.102 1.213 6.931
-2.102 1.213 6.931
0.000 -2.427 6.931
Se Br Cl
1 2 1
Direct
0.000 0.000 0.000
0.265 0.265 0.265
0.735 0.735 0.735
0.500 0.500 0.500
```

=====

Q:
Density functional theory data (PBE) for an optimized crystal structure of SeBr2Cl.

Structure (POSCAR):
```
SeBr2Cl
1.0
5.291 0.000 0.000
0.000 3.924 0.000
-2.629 0.000 6.790
Se Br Cl
1 2 1
Direct
0.000 0.000 0.000
0.131 0.500 0.262
0.869 0.500 0.738
0.500 0.000 0.000
```

=====

Relative energies with respect to the most stable structure, expressed in meV per atom: P 311; Q 0.

=====

P:
Density functional theory data (PBE) for an optimized crystal structure of Se4BrCl.

Structure (POSCAR):
```
Se4BrCl
1.0
5.691 0.000 0.000
0.000 3.646 0.000
-1.408 0.000 7.770
Se Br Cl
4 1 1
Direct
0.108 0.000 0.322
0.139 0.500 0.826
0.861 0.500 0.174
0.892 0.000 0.678
0.500 0.500 0.500
0.500 0.000 0.000
```

=====

Q:
Density functional theory data (PBE) for an optimized crystal structure of Se4BrCl.

Structure (POSCAR):
```
Se4BrCl
1.0
0.000 4.138 4.138
4.138 0.000 4.138
4.138 4.138 0.000
Se Br Cl
4 1 1
Direct
0.111 0.111 0.111
0.111 0.111 0.668
0.111 0.668 0.111
0.668 0.111 0.111
0.750 0.750 0.750
0.500 0.500 0.500
```

=====

Relative energies with respect to the most stable structure, expressed in meV per atom: P 0; Q 484.

=====

P:
Density functional theory data (PBE) for an optimized crystal structure of SnSeBr2Cl.

Structure (POSCAR):
```
SnSeBr2Cl
1.0
5.104 0.000 0.000
0.000 5.104 0.000
0.000 0.000 5.573
Sn Se Br Cl
1 1 2 1
Direct
0.000 0.000 0.000
0.500 0.500 0.000
0.000 0.500 0.500
0.500 0.000 0.500
0.500 0.500 0.500
```

=====

Q:
Density functional theory data (PBE) for an optimized crystal structure of SnSeBr2Cl.

Structure (POSCAR):
```
SnSeBr2Cl
1.0
5.405 0.000 0.000
0.000 5.405 0.000
0.000 0.000 5.641
Sn Se Br Cl
1 1 2 1
Direct
0.000 0.000 0.000
0.000 0.000 0.500
0.000 0.500 0.000
0.500 0.000 0.000
0.500 0.500 0.500
```

=====

Relative energies with respect to the most stable structure, expressed in meV per atom: P 253; Q 0.